5
Lattice="4.643 0.000 0.000 0.000 4.643 0.000 0.000 0.000 4.643" Properties=species:S:1:pos:R:3 comment="LaMnMo3 (GGA-PBE, relaxed)" volume_a3_per_cell=100 dft_energy_ev_per_cell=-42.7 sg="Pm-3m (221)" m_tot_mub_per_cell=1.90 density_g_cm3=7.992 formation_enthalpy_0k_kj_per_mol_fu=376 e_above_lowest_polymorph_mev_per_atom=0 pbc="T T T"
La 0.000 0.000 0.000
Mn 2.321 2.321 2.321
Mo 0.000 2.321 2.321
Mo 2.321 0.000 2.321
Mo 2.321 2.321 0.000

=====

4
Lattice="0.000 3.201 3.201 3.201 0.000 3.201 3.201 3.201 0.000" Properties=species:S:1:pos:R:3 comment="LaMn2Mo (GGA-PBE, relaxed)" volume_a3_per_cell=66 dft_energy_ev_per_cell=-31.5 sg="Fm-3m (225)" m_tot_mub_per_cell=0.00 density_g_cm3=8.729 formation_enthalpy_0k_kj_per_mol_fu=247 e_above_lowest_polymorph_mev_per_atom=373 pbc="T T T"
La 0.000 0.000 0.000
Mn 1.600 1.600 1.600
Mn 4.801 4.801 4.801
Mo 3.201 3.201 3.201

=====

4
Lattice="2.026 1.170 5.574 -2.026 1.170 5.574 0.000 -2.340 5.574" Properties=species:S:1:pos:R:3 comment="LaMn2Mo (GGA-PBE, relaxed)" volume_a3_per_cell=79 dft_energy_ev_per_cell=-32.7 sg="R3m (160)" m_tot_mub_per_cell=0.78 density_g_cm3=7.219 formation_enthalpy_0k_kj_per_mol_fu=131 e_above_lowest_polymorph_mev_per_atom=72 pbc="T T T"
La 0.000 0.000 0.000
Mn 0.000 0.000 3.278
Mn 0.000 0.000 8.669
Mo 0.000 0.000 13.427

=====

4
Lattice="3.653 0.000 0.000 0.000 3.653 0.000 0.000 0.000 7.435" Properties=species:S:1:pos:R:3 comment="La2MnMo (GGA-PBE, relaxed)" volume_a3_per_cell=99 dft_energy_ev_per_cell=-27.9 sg="P4/mmm (123)" m_tot_mub_per_cell=4.83 density_g_cm3=7.174 formation_enthalpy_0k_kj_per_mol_fu=186 e_above_lowest_polymorph_mev_per_atom=185 pbc="T T T"
La 0.000 0.000 1.792
La 0.000 0.000 5.643
Mn 1.827 1.827 3.717
Mo 1.827 1.827 0.000

=====

4
Lattice="1.536 0.887 9.187 -1.536 0.887 9.187 0.000 -1.774 9.187" Properties=species:S:1:pos:R:3 comment="LaMn2Mo (GGA-PBE, relaxed)" volume_a3_per_cell=75 dft_energy_ev_per_cell=-31.6 sg="R-3m (166)" m_tot_mub_per_cell=4.96 density_g_cm3=7.622 formation_enthalpy_0k_kj_per_mol_fu=243 e_above_lowest_polymorph_mev_per_atom=363 pbc="T T T"
La 0.000 0.000 0.000
Mn 0.000 0.000 6.474
Mn 0.000 0.000 21.088
Mo 0.000 0.000 13.781

=====

4
Lattice="0.000 3.558 3.558 3.558 0.000 3.558 3.558 3.558 0.000" Properties=species:S:1:pos:R:3 comment="La2MnMo (GGA-PBE, relaxed)" volume_a3_per_cell=90 dft_energy_ev_per_cell=-27.6 sg="F-43m (216)" m_tot_mub_per_cell=3.25 density_g_cm3=7.901 formation_enthalpy_0k_kj_per_mol_fu=218 e_above_lowest_polymorph_mev_per_atom=267 pbc="T T T"
La 0.000 0.000 0.000
La 1.779 1.779 1.779
Mn 5.337 5.337 5.337
Mo 3.558 3.558 3.558

=====

4
Lattice="3.149 0.000 0.000 0.000 3.149 0.000 0.000 0.000 7.450" Properties=species:S:1:pos:R:3 comment="LaMn2Mo (GGA-PBE, relaxed)" volume_a3_per_cell=74 dft_energy_ev_per_cell=-33.0 sg="P4/mmm (123)" m_tot_mub_per_cell=3.88 density_g_cm3=7.749 formation_enthalpy_0k_kj_per_mol_fu=103 e_above_lowest_polymorph_mev_per_atom=0 pbc="T T T"
La 0.000 0.000 0.000
Mn 1.574 1.574 2.375
Mn 1.574 1.574 5.075
Mo 0.000 0.000 3.725

=====

4
Lattice="0.000 3.549 3.549 3.549 0.000 3.549 3.549 3.549 0.000" Properties=species:S:1:pos:R:3 comment="La2MnMo (GGA-PBE, relaxed)" volume_a3_per_cell=89 dft_energy_ev_per_cell=-26.7 sg="Fm-3m (225)" m_tot_mub_per_cell=0.00 density_g_cm3=7.961 formation_enthalpy_0k_kj_per_mol_fu=308 e_above_lowest_polymorph_mev_per_atom=501 pbc="T T T"
La 1.775 1.775 1.775
La 5.324 5.324 5.324
Mn 0.000 0.000 0.000
Mo 3.549 3.549 3.549

=====

6
Lattice="0.000 4.455 4.455 4.455 0.000 4.455 4.455 4.455 0.000" Properties=species:S:1:pos:R:3 comment="La4MnMo (GGA-PBE, relaxed)" volume_a3_per_cell=177 dft_energy_ev_per_cell=-33.5 sg="F-43m (216)" m_tot_mub_per_cell=4.92 density_g_cm3=6.634 formation_enthalpy_0k_kj_per_mol_fu=595 pbc="T T T"
La 1.116 1.116 1.116
La 3.339 3.339 1.116
La 3.339 1.116 3.339
La 1.116 3.339 3.339
Mn 6.682 6.682 6.682
Mo 4.455 4.455 4.455

=====

4
Lattice="3.075 0.000 0.000 0.000 3.078 0.000 -0.009 0.000 7.663" Properties=species:S:1:pos:R:3 comment="LaMn2Mo (GGA-PBE, relaxed)" volume_a3_per_cell=73 dft_energy_ev_per_cell=-32.6 sg="Pm (6)" m_tot_mub_per_cell=4.05 density_g_cm3=7.894 formation_enthalpy_0k_kj_per_mol_fu=146 e_above_lowest_polymorph_mev_per_atom=111 pbc="T T T"
La 0.000 0.000 0.000
Mn 3.070 0.000 3.675
Mn 1.529 1.539 5.172
Mo 1.535 1.539 2.416

=====

5
Lattice="5.503 0.000 0.000 0.000 5.503 0.000 0.000 0.000 5.503" Properties=species:S:1:pos:R:3 comment="La3MnMo (GGA-PBE, relaxed)" volume_a3_per_cell=167 dft_energy_ev_per_cell=-32.0 sg="Pm-3m (221)" m_tot_mub_per_cell=3.94 density_g_cm3=5.654 formation_enthalpy_0k_kj_per_mol_fu=267 e_above_lowest_polymorph_mev_per_atom=0 pbc="T T T"
La 0.000 0.000 2.752
La 0.000 2.752 0.000
La 2.752 0.000 0.000
Mn 2.752 2.752 2.752
Mo 0.000 0.000 0.000

=====

4
Lattice="-1.855 2.658 4.817 1.855 -2.658 4.817 1.855 2.658 -4.817" Properties=species:S:1:pos:R:3 comment="La2MnMo (GGA-PBE, relaxed)" volume_a3_per_cell=95 dft_energy_ev_per_cell=-27.3 sg="Immm (71)" m_tot_mub_per_cell=2.91 density_g_cm3=7.490 formation_enthalpy_0k_kj_per_mol_fu=251 e_above_lowest_polymorph_mev_per_atom=353 pbc="T T T"
La 0.000 0.000 2.202
La 0.000 0.000 7.433
Mn 0.000 2.658 0.000
Mo 1.855 0.000 0.000

=====

4
Lattice="3.265 0.000 0.000 0.000 3.874 0.000 -1.093 0.000 7.956" Properties=species:S:1:pos:R:3 comment="La2MnMo (GGA-PBE, relaxed)" volume_a3_per_cell=101 dft_energy_ev_per_cell=-28.4 sg="Pm (6)" m_tot_mub_per_cell=0.00 density_g_cm3=7.075 formation_enthalpy_0k_kj_per_mol_fu=141 e_above_lowest_polymorph_mev_per_atom=68 pbc="T T T"
La 0.000 0.000 0.000
La 0.222 1.937 4.617
Mn 1.191 1.937 1.881
Mo 2.216 0.000 2.659

=====

4
Lattice="1.755 1.013 9.266 -1.755 1.013 9.266 0.000 -2.026 9.266" Properties=species:S:1:pos:R:3 comment="La2MnMo (GGA-PBE, relaxed)" volume_a3_per_cell=99 dft_energy_ev_per_cell=-27.1 sg="R-3m (166)" m_tot_mub_per_cell=3.82 density_g_cm3=7.203 formation_enthalpy_0k_kj_per_mol_fu=262 e_above_lowest_polymorph_mev_per_atom=382 pbc="T T T"
La 0.000 0.000 6.828
La 0.000 0.000 20.971
Mn 0.000 0.000 0.000
Mo 0.000 0.000 13.899

=====

4
Lattice="-1.704 2.485 4.624 1.704 -2.485 4.624 1.704 2.485 -4.624" Properties=species:S:1:pos:R:3 comment="LaMn2Mo (GGA-PBE, relaxed)" volume_a3_per_cell=78 dft_energy_ev_per_cell=-31.6 sg="Immm (71)" m_tot_mub_per_cell=6.08 density_g_cm3=7.309 formation_enthalpy_0k_kj_per_mol_fu=242 e_above_lowest_polymorph_mev_per_atom=360 pbc="T T T"
La 0.000 0.000 0.000
Mn 1.704 0.000 2.600
Mn 0.000 2.485 2.023
Mo 0.000 0.000 4.624

=====

8
Lattice="-3.824 3.824 3.019 3.824 -3.824 3.019 3.824 3.824 -3.019" Properties=species:S:1:pos:R:3 comment="La2MnMo (GGA-PBE, relaxed)" volume_a3_per_cell=177 dft_energy_ev_per_cell=-51.7 sg="I-42d (122)" m_tot_mub_per_cell=0.16 density_g_cm3=8.062 formation_enthalpy_0k_kj_per_mol_fu=388 e_above_lowest_polymorph_mev_per_atom=709 pbc="T T T"
La 1.912 1.692 -0.755
La 2.133 -1.912 3.773
La 1.912 2.133 2.264
La 1.692 5.737 0.755
Mn 0.000 0.000 0.000
Mn 0.000 3.824 1.509
Mo 3.824 0.000 1.509
Mo 0.000 0.000 3.019

=====

4
Lattice="3.740 0.000 0.000 0.000 4.452 0.000 0.000 0.000 4.533" Properties=species:S:1:pos:R:3 comment="LaMn2Mo (GGA-PBE, relaxed)" volume_a3_per_cell=75 dft_energy_ev_per_cell=-31.4 sg="Pmmm (47)" m_tot_mub_per_cell=7.01 density_g_cm3=7.586 formation_enthalpy_0k_kj_per_mol_fu=260 e_above_lowest_polymorph_mev_per_atom=407 pbc="T T T"
La 0.000 0.000 0.000
Mn 0.000 2.226 2.266
Mn 1.870 0.000 2.266
Mo 1.870 2.226 0.000

=====

4
Lattice="3.179 0.000 0.000 0.000 3.179 0.000 0.000 0.000 9.139" Properties=species:S:1:pos:R:3 comment="La2MnMo (GGA-PBE, relaxed)" volume_a3_per_cell=92 dft_energy_ev_per_cell=-28.7 sg="P4mm (99)" m_tot_mub_per_cell=0.00 density_g_cm3=7.708 formation_enthalpy_0k_kj_per_mol_fu=115 e_above_lowest_polymorph_mev_per_atom=0 pbc="T T T"
La 0.000 0.000 0.000
La 1.589 1.589 3.516
Mn 0.000 0.000 5.677
Mo 1.589 1.589 6.845

=====

5
Lattice="4.715 0.000 0.000 0.000 4.715 0.000 0.000 0.000 4.715" Properties=species:S:1:pos:R:3 comment="LaMnMo3 (GGA-PBE, relaxed)" volume_a3_per_cell=105 dft_energy_ev_per_cell=-33.4 sg="Pm-3m (221)" m_tot_mub_per_cell=0.04 density_g_cm3=7.631 formation_enthalpy_0k_kj_per_mol_fu=1276 e_above_lowest_polymorph_mev_per_atom=1866 pbc="T T T"
La 0.000 0.000 0.000
Mn 2.357 2.357 2.357
Mo 0.000 0.000 2.357
Mo 0.000 2.357 0.000
Mo 2.357 0.000 0.000

=====

5
Lattice="-2.114 2.114 5.120 2.114 -2.114 5.120 2.114 2.114 -5.120" Properties=species:S:1:pos:R:3 comment="LaMn2Mo2 (GGA-PBE, relaxed)" volume_a3_per_cell=91 dft_energy_ev_per_cell=-43.3 sg="I4/mmm (139)" m_tot_mub_per_cell=0.00 density_g_cm3=7.997 formation_enthalpy_0k_kj_per_mol_fu=158 pbc="T T T"
La 0.000 0.000 0.000
Mn 2.114 0.000 2.560
Mn 0.000 2.114 2.560
Mo 0.000 0.000 3.727
Mo 0.000 0.000 6.514

=====

7
Lattice="-2.847 2.847 6.693 2.847 -2.847 6.693 2.847 2.847 -6.693" Properties=species:S:1:pos:R:3 comment="La4Mn2Mo (GGA-PBE, relaxed)" volume_a3_per_cell=217 dft_energy_ev_per_cell=-44.8 sg="I4/mmm (139)" m_tot_mub_per_cell=5.03 density_g_cm3=5.827 formation_enthalpy_0k_kj_per_mol_fu=392 pbc="T T T"
La 2.847 0.000 0.000
La 0.000 0.000 2.709
La 0.000 2.847 0.000
La 0.000 0.000 10.676
Mn 0.000 0.000 5.476
Mn 0.000 0.000 7.909
Mo 0.000 0.000 0.000

=====

8
Lattice="-3.750 3.750 2.866 3.750 -3.750 2.866 3.750 3.750 -2.866" Properties=species:S:1:pos:R:3 comment="LaMn2Mo (GGA-PBE, relaxed)" volume_a3_per_cell=161 dft_energy_ev_per_cell=-62.4 sg="I-42d (122)" m_tot_mub_per_cell=10.34 density_g_cm3=7.102 formation_enthalpy_0k_kj_per_mol_fu=281 e_above_lowest_polymorph_mev_per_atom=461 pbc="T T T"
La 0.000 0.000 0.000
La 0.000 3.750 1.433
Mn 1.875 -1.467 2.150
Mn 2.282 1.875 0.717
Mn 1.875 5.217 -0.717
Mn 1.467 1.875 3.583
Mo 3.750 0.000 1.433
Mo 0.000 0.000 2.866

=====

4
Lattice="3.650 0.000 0.000 0.000 4.663 0.000 0.000 0.000 5.338" Properties=species:S:1:pos:R:3 comment="La2MnMo (GGA-PBE, relaxed)" volume_a3_per_cell=91 dft_energy_ev_per_cell=-27.2 sg="Pmmm (47)" m_tot_mub_per_cell=2.52 density_g_cm3=7.837 formation_enthalpy_0k_kj_per_mol_fu=256 e_above_lowest_polymorph_mev_per_atom=365 pbc="T T T"
La 0.000 0.000 0.000
La 1.825 0.000 2.669
Mn 0.000 2.331 2.669
Mo 1.825 2.331 0.000

=====

4
Lattice="2.095 1.210 5.376 -2.095 1.210 5.376 0.000 -2.419 5.376" Properties=species:S:1:pos:R:3 comment="LaMn2Mo (GGA-PBE, relaxed)" volume_a3_per_cell=82 dft_energy_ev_per_cell=-33.0 sg="R-3m (166)" m_tot_mub_per_cell=3.28 density_g_cm3=7.003 formation_enthalpy_0k_kj_per_mol_fu=105 e_above_lowest_polymorph_mev_per_atom=6 pbc="T T T"
La 0.000 0.000 0.000
Mn 0.000 0.000 3.198
Mn 0.000 0.000 12.931
Mo 0.000 0.000 8.064

=====

4
Lattice="4.796 0.000 0.000 0.000 4.796 0.000 0.000 0.000 3.069" Properties=species:S:1:pos:R:3 comment="LaMn2Mo (GGA-PBE, relaxed)" volume_a3_per_cell=71 dft_energy_ev_per_cell=-31.7 sg="P4/mmm (123)" m_tot_mub_per_cell=4.01 density_g_cm3=8.108 formation_enthalpy_0k_kj_per_mol_fu=228 e_above_lowest_polymorph_mev_per_atom=324 pbc="T T T"
La 0.000 0.000 0.000
Mn 0.000 2.398 1.535
Mn 2.398 0.000 1.535
Mo 2.398 2.398 0.000

=====

4
Lattice="-2.234 2.234 4.679 2.234 -2.234 4.679 2.234 2.234 -4.679" Properties=species:S:1:pos:R:3 comment="La2MnMo (GGA-PBE, relaxed)" volume_a3_per_cell=93 dft_energy_ev_per_cell=-27.5 sg="I-4m2 (119)" m_tot_mub_per_cell=4.24 density_g_cm3=7.618 formation_enthalpy_0k_kj_per_mol_fu=224 e_above_lowest_polymorph_mev_per_atom=283 pbc="T T T"
La 0.000 0.000 0.000
La 0.000 2.234 2.340
Mn 2.234 0.000 2.340
Mo 0.000 0.000 4.679

=====

4
Lattice="2.882 -3.906 0.000 2.882 3.906 0.000 -0.008 0.000 3.251" Properties=species:S:1:pos:R:3 comment="LaMn2Mo (GGA-PBE, relaxed)" volume_a3_per_cell=73 dft_energy_ev_per_cell=-31.7 sg="C2/m (12)" m_tot_mub_per_cell=6.17 density_g_cm3=7.821 formation_enthalpy_0k_kj_per_mol_fu=236 e_above_lowest_polymorph_mev_per_atom=343 pbc="T T T"
La 0.000 0.000 0.000
Mn 1.437 1.953 1.626
Mn 1.437 -1.953 1.626
Mo 2.882 0.000 0.000

=====

4
Lattice="-1.531 2.513 4.809 1.531 -2.513 4.809 1.531 2.513 -4.809" Properties=species:S:1:pos:R:3 comment="LaMn2Mo (GGA-PBE, relaxed)" volume_a3_per_cell=74 dft_energy_ev_per_cell=-31.8 sg="Imm2 (44)" m_tot_mub_per_cell=1.25 density_g_cm3=7.732 formation_enthalpy_0k_kj_per_mol_fu=221 e_above_lowest_polymorph_mev_per_atom=304 pbc="T T T"
La 0.000 0.000 0.000
Mn 1.531 0.000 2.778
Mn 0.000 0.000 5.056
Mo 0.000 2.513 2.209

=====

4
Lattice="1.530 0.883 9.143 -1.530 0.883 9.143 0.000 -1.767 9.143" Properties=species:S:1:pos:R:3 comment="LaMn2Mo (GGA-PBE, relaxed)" volume_a3_per_cell=74 dft_energy_ev_per_cell=-31.5 sg="R3m (160)" m_tot_mub_per_cell=1.62 density_g_cm3=7.719 formation_enthalpy_0k_kj_per_mol_fu=254 e_above_lowest_polymorph_mev_per_atom=391 pbc="T T T"
La 0.000 0.000 0.000
Mn 0.000 0.000 13.797
Mn 0.000 0.000 21.097
Mo 0.000 0.000 6.415

=====

4
Lattice="1.854 -2.699 0.000 1.854 2.699 0.000 0.000 0.000 9.580" Properties=species:S:1:pos:R:3 comment="La2MnMo (GGA-PBE, relaxed)" volume_a3_per_cell=96 dft_energy_ev_per_cell=-27.3 sg="Cmmm (65)" m_tot_mub_per_cell=3.73 density_g_cm3=7.426 formation_enthalpy_0k_kj_per_mol_fu=243 e_above_lowest_polymorph_mev_per_atom=332 pbc="T T T"
La 0.000 0.000 2.247
La 0.000 0.000 7.333
Mn 1.854 0.000 4.790
Mo 1.854 0.000 0.000